[1]
Entry from Alexandria via LeMat-Bulk: a geometry-optimized Cs2KBrF6 structure (GGA-PBE).

Calculated values
spin magnetization = 2.00 μB per cell
total energy = -3.509 eV/atom
calculated density = 3.743 Mg/m³
ΔE_f (raw) = -1.939 eV/atom
symmetry = I4/mmm

```
Cs2KBrF6
1.0
-3.507 3.507 4.498
3.507 -3.507 4.498
3.507 3.507 -4.498
Cs K Br F
2 1 1 6
direct
0.250 0.750 0.500
0.750 0.250 0.500
0.000 0.000 0.000
0.500 0.500 0.000
0.257 0.257 0.514
0.257 0.743 0.000
0.287 0.287 0.000
0.713 0.713 0.000
0.743 0.257 0.000
0.743 0.743 0.486
```

---

[2]
Entry from Alexandria via LeMat-Bulk: a geometry-optimized TmTlPd structure (GGA-PBE).

Calculated values
ΔH_f (0 K) = -0.63 eV/atom
spin magnetization = 0.00 μB per cell
total energy = -4.642 eV/atom
calculated density = 11.938 Mg/m³
symmetry = Pmma

```
TmTlPd
1.0
13.737 0.000 0.000
0.000 3.688 0.000
0.000 0.000 7.903
Tm Tl Pd
6 6 6
direct
0.051 0.000 0.218
0.250 0.000 0.831
0.449 0.000 0.218
0.551 0.000 0.782
0.750 0.000 0.169
0.949 0.000 0.782
0.109 0.500 0.568
0.250 0.500 0.173
0.391 0.500 0.568
0.609 0.500 0.432
0.750 0.500 0.827
0.891 0.500 0.432
0.094 0.500 0.931
0.250 0.000 0.444
0.406 0.500 0.931
0.594 0.500 0.069
0.750 0.000 0.556
0.906 0.500 0.069
```

---

[3]
Entry from Alexandria via LeMat-Bulk: a geometry-optimized Cs2ZrCd structure (GGA-PBE).

Calculated values
ΔH_f (0 K) = 1.05 eV/atom
spin magnetization = 16.01 μB per cell
excess energy over the best structure of this formula in the dataset = 157.8 meV per atom
total energy = -1.745 eV/atom
calculated density = 4.365 Mg/m³
symmetry = Fm-3m

```
Cs2ZrCd
1.0
8.940 0.000 0.000
0.000 8.940 0.000
0.000 0.000 8.940
Cs Zr Cd
8 4 4
direct
0.250 0.250 0.250
0.250 0.250 0.750
0.250 0.750 0.250
0.250 0.750 0.750
0.750 0.250 0.250
0.750 0.250 0.750
0.750 0.750 0.250
0.750 0.750 0.750
0.000 0.000 0.000
0.000 0.500 0.500
0.500 0.000 0.500
0.500 0.500 0.000
0.000 0.000 0.500
0.000 0.500 0.000
0.500 0.000 0.000
0.500 0.500 0.500
```

---

[4]
Entry from Alexandria via LeMat-Bulk: a geometry-optimized Sm6GeP5 structure (GGA-PBE).

Calculated values
ΔH_f (0 K) = -1.40 eV/atom
spin magnetization = 0.00 μB per cell
total energy = -6.402 eV/atom
calculated density = 6.300 Mg/m³
symmetry = C2/m

```
Sm6GeP5
1.0
3.577 -6.198 0.000
3.577 6.198 0.000
-2.388 0.000 6.715
Sm Ge P
6 1 5
direct
0.075 0.416 0.747
0.244 0.244 0.254
0.416 0.075 0.747
0.584 0.925 0.253
0.756 0.756 0.746
0.925 0.584 0.253
0.500 0.500 0.000
0.000 0.000 0.500
0.166 0.834 0.000
0.334 0.666 0.500
0.666 0.334 0.500
0.834 0.166 0.000
```